# 1
The following is a PBE calculation of a relaxed Tb2NdIn4 crystal, from Alexandria via LeMat-Bulk.

a b c (Å): 5.9738 5.9738 7.1937
angles (deg): 114.53 114.53 90.00
Atoms (fractional coordinates):
1 In 0.5000 0.0000 0.0000
2 In 0.2500 0.7500 0.5000
3 In 0.7500 0.2500 0.5000
4 In 0.0000 0.5000 0.0000
5 Tb 0.3543 0.3543 0.7086
6 Nd 0.0000 0.0000 0.0000
7 Tb 0.6457 0.6457 0.2914

Properties
crystal system = tetragonal
calculated total energy = -26.4 eV per formula unit
E above lowest polymorph = 86 meV/atom
ρ = 7.36 g cm⁻³

# 2
The following is a PBE calculation of a relaxed TbNd2In6 crystal, from Alexandria via LeMat-Bulk.

a b c (Å): 3.6770 8.6600 8.6601
angles (deg): 120.00 90.00 90.00
Atoms (fractional coordinates):
1 In 0.5000 0.6682 0.6682
2 Nd 0.0000 0.3333 0.6667
3 Tb 0.0000 0.0000 0.0000
4 In 0.5000 0.3318 0.0000
5 In 0.5000 0.6682 0.0000
6 In 0.5000 0.0000 0.6682
7 In 0.5000 0.3318 0.3318
8 Nd 0.0000 0.6667 0.3333
9 In 0.5000 0.0000 0.3318

Properties
crystal system = hexagonal
calculated total energy = -34.6 eV per formula unit
ρ = 7.90 g cm⁻³

# 3
The following is a PBE calculation of a relaxed TbNd2In crystal, from Alexandria via LeMat-Bulk.

a b c (Å): 3.6440 3.6440 9.5274
angles (deg): 90.00 90.00 90.00
Atoms (fractional coordinates):
1 Nd 0.0000 0.0000 0.2274
2 In 0.5000 0.5000 0.0000
3 Tb 0.5000 0.5000 0.5000
4 Nd 0.0000 0.0000 0.7726

Properties
crystal system = tetragonal
calculated total energy = -17.7 eV per formula unit
E above lowest polymorph = 63 meV/atom
ρ = 7.38 g cm⁻³

# 4
The following is a PBE calculation of a relaxed Tb2Nd2In3 crystal, from Alexandria via LeMat-Bulk.

a b c (Å): 4.6447 3.5275 12.5107
angles (deg): 90.00 79.30 90.00
Atoms (fractional coordinates):
1 Tb 0.2968 0.5000 0.4065
2 In 0.1479 0.0000 0.7042
3 In 0.0000 0.0000 0.0000
4 Nd 0.5712 0.5000 0.8577
5 Tb 0.7032 0.5000 0.5935
6 In 0.8521 0.0000 0.2958
7 Nd 0.4288 0.5000 0.1423

Properties
crystal system = orthorhombic
calculated total energy = -29.2 eV per formula unit
E above lowest polymorph = 0 meV/atom
ρ = 7.84 g cm⁻³

no.,energy relative to the elements (meV per atom)
1,-199
2,-448
3,-207
4,-317